# BeNiF (GGA+U, relaxed)
# - density of states at the Fermi level (states/eV/f.u.) = 0.536
# - size of the total moment (μB per cell) = 3.6
# - electronic total energy (eV/atom) = -3.59
data_BeNiF
_cell_length_a 12.204
_cell_length_b 2.432
_cell_length_c 4.877
_cell_angle_alpha 90.00
_cell_angle_beta 90.00
_cell_angle_gamma 90.00
_space_group_name_H-M_alt 'A m m 2'
_space_group_IT_number 38
_space_group_name_Hall 'A 2 -2'
loop_
_atom_site_label
_atom_site_fract_x
_atom_site_fract_y
_atom_site_fract_z
Be1 0.000 0.000 0.000
Be2 0.500 0.000 0.286
Ni1 0.140 0.000 0.304
F1 0.411 0.000 0.786